# 1
# AlHg3O | the Alexandria database | PBE-GGA | optimized geometry
# E_tot in eV per cell: -6.75
# DOS at the Fermi energy in states/eV/f.u.: 9.50
# Energy above the lowest structure with this stoichiometry in kcal/mol of atoms: 4.256
# Formation energy from raw total energies in meV per atom: 571
data_AlHg3O
_chemical_formula_sum 'Al1 Hg3 O1'
_cell_length_a 5.211
_cell_length_b 5.211
_cell_length_c 5.211
_cell_angle_alpha 90.00
_cell_angle_beta 90.00
_cell_angle_gamma 90.00
_space_group_name_H-M_alt 'P m -3 m'
_space_group_IT_number 221
_space_group_name_Hall '-P 4 2 3'
loop_
_atom_site_label
_atom_site_fract_x
_atom_site_fract_y
_atom_site_fract_z
Al1 0.000 0.000 0.000
Hg1 0.000 0.000 0.500
O1 0.500 0.500 0.500


# 2
# Al4HgO7 | the Alexandria database | PBE-GGA | optimized geometry
# E_tot in eV per cell: -159.04
# DOS at the Fermi energy in states/eV/f.u.: 0.00
# Formation energy from raw total energies in meV per atom: -2462
data_Al4HgO7
_chemical_formula_sum 'Al8 Hg2 O14'
_cell_length_a 13.274
_cell_length_b 5.431
_cell_length_c 5.154
_cell_angle_alpha 90.00
_cell_angle_beta 90.00
_cell_angle_gamma 90.00
_space_group_name_H-M_alt 'P m n 21'
_space_group_IT_number 31
loop_
_space_group_symop_operation_xyz
'x,y,z'
'-x+1/2,-y,z+1/2'
'-x,y,z'
'x+1/2,-y,z+1/2'
loop_
_atom_site_label
_atom_site_fract_x
_atom_site_fract_y
_atom_site_fract_z
Al1 0.125 0.171 0.000
Al2 0.247 0.345 0.487
Hg1 0.000 0.656 0.918
O1 0.000 0.248 0.901
O2 0.144 0.246 0.319
O3 0.145 0.851 0.942
O4 0.213 0.371 0.826


# 3
# AlHgO | the Alexandria database | PBE-GGA | optimized geometry
# E_tot in eV per cell: -26.55
# DOS at the Fermi energy in states/eV/f.u.: 0.08
# Energy above the lowest structure with this stoichiometry in kcal/mol of atoms: 0.000
# Formation energy from raw total energies in meV per atom: -1424
data_AlHgO
_chemical_formula_sum 'Al2 Hg2 O2'
_cell_length_a 3.198
_cell_length_b 4.921
_cell_length_c 8.762
_cell_angle_alpha 102.45
_cell_angle_beta 90.41
_cell_angle_gamma 108.89
_space_group_name_H-M_alt 'P -1'
_space_group_IT_number 2
loop_
_space_group_symop_operation_xyz
'x,y,z'
'-x,-y,-z'
loop_
_atom_site_label
_atom_site_fract_x
_atom_site_fract_y
_atom_site_fract_z
Al1 0.126 0.253 0.460
Hg1 0.113 0.223 0.875
O1 0.317 0.629 0.606


# 4
# AlHgO3 | the Alexandria database | PBE-GGA | optimized geometry
# E_tot in eV per cell: -17.28
# DOS at the Fermi energy in states/eV/f.u.: 1.39
# Formation energy from raw total energies in meV per atom: 328
data_AlHgO3
_chemical_formula_sum 'Al1 Hg1 O3'
_cell_length_a 4.116
_cell_length_b 4.116
_cell_length_c 4.116
_cell_angle_alpha 90.00
_cell_angle_beta 90.00
_cell_angle_gamma 90.00
_space_group_name_H-M_alt 'P m -3 m'
_space_group_IT_number 221
_space_group_name_Hall '-P 4 2 3'
loop_
_atom_site_label
_atom_site_fract_x
_atom_site_fract_y
_atom_site_fract_z
Al1 0.000 0.000 0.000
Hg1 0.500 0.500 0.500
O1 0.000 0.500 0.500


# 5
# AlHgO | the Alexandria database | PBE-GGA | optimized geometry
# E_tot in eV per cell: -12.95
# DOS at the Fermi energy in states/eV/f.u.: 1.63
# Energy above the lowest structure with this stoichiometry in kcal/mol of atoms: 2.536
# Formation energy from raw total energies in meV per atom: -1314
data_AlHgO
_chemical_formula_sum 'Al1 Hg1 O1'
_cell_length_a 3.0357
_cell_length_b 3.0357
_cell_length_c 7.2085
_cell_angle_alpha 90.00
_cell_angle_beta 90.00
_cell_angle_gamma 120.00
_space_group_name_H-M_alt 'P 3 m 1'
_space_group_IT_number 156
loop_
_space_group_symop_operation_xyz
'x,y,z'
'-y,x-y,z'
'-x+y,-x,z'
'-y,-x,z'
'-x+y,y,z'
'x,x-y,z'
loop_
_atom_site_label
_atom_site_fract_x
_atom_site_fract_y
_atom_site_fract_z
Al1 0.0000 0.0000 0.0000
Hg1 0.3333 0.6667 0.6638
O1 0.6667 0.3333 0.0862


# 6
# AlHg3O | the Alexandria database | PBE-GGA | optimized geometry
# E_tot in eV per cell: -7.68
# DOS at the Fermi energy in states/eV/f.u.: 2.53
# Energy above the lowest structure with this stoichiometry in kcal/mol of atoms: 0.000
# Formation energy from raw total energies in meV per atom: 386
data_AlHg3O
_chemical_formula_sum 'Al1 Hg3 O1'
_cell_length_a 4.848
_cell_length_b 4.848
_cell_length_c 4.848
_cell_angle_alpha 90.00
_cell_angle_beta 90.00
_cell_angle_gamma 90.00
_space_group_name_H-M_alt 'P m -3 m'
_space_group_IT_number 221
_space_group_name_Hall '-P 4 2 3'
loop_
_atom_site_label
_atom_site_fract_x
_atom_site_fract_y
_atom_site_fract_z
Al1 0.000 0.000 0.000
Hg1 0.000 0.500 0.500
O1 0.500 0.500 0.500


# 7
# Al3HgO | the Alexandria database | PBE-GGA | optimized geometry
# E_tot in eV per cell: -12.25
# DOS at the Fermi energy in states/eV/f.u.: 1.90
# Energy above the lowest structure with this stoichiometry in kcal/mol of atoms: 25.759
# Formation energy from raw total energies in meV per atom: 848
data_Al3HgO
_chemical_formula_sum 'Al3 Hg1 O1'
_cell_length_a 4.961
_cell_length_b 4.961
_cell_length_c 4.961
_cell_angle_alpha 90.00
_cell_angle_beta 90.00
_cell_angle_gamma 90.00
_space_group_name_H-M_alt 'P m -3 m'
_space_group_IT_number 221
_space_group_name_Hall '-P 4 2 3'
loop_
_atom_site_label
_atom_site_fract_x
_atom_site_fract_y
_atom_site_fract_z
Al1 0.000 0.000 0.500
Hg1 0.000 0.000 0.000
O1 0.500 0.500 0.500


# 8
# AlHgOsO6 | the Alexandria database | PBE-GGA | optimized geometry
# E_tot in eV per cell: -56.59
# DOS at the Fermi energy in states/eV/f.u.: 4.24
# Formation energy from raw total energies in meV per atom: -1286
data_AlHgOsO6
_chemical_formula_sum 'Al1 Hg1 Os1 O6'
_cell_length_a 5.0921
_cell_length_b 5.0921
_cell_length_c 4.9622
_cell_angle_alpha 90.00
_cell_angle_beta 90.00
_cell_angle_gamma 120.00
_space_group_name_H-M_alt 'P 3 1 2'
_space_group_IT_number 149
loop_
_space_group_symop_operation_xyz
'x,y,z'
'-y,x-y,z'
'-x+y,-x,z'
'-y,-x,-z'
'-x+y,y,-z'
'x,x-y,-z'
loop_
_atom_site_label
_atom_site_fract_x
_atom_site_fract_y
_atom_site_fract_z
Al1 0.0000 0.0000 0.0000
Hg1 0.6667 0.3333 0.5000
Os1 0.3333 0.6667 0.0000
O1 0.0454 0.3348 0.2108


# 9
# PaAlHgO6 | the Alexandria database | PBE-GGA | optimized geometry
# E_tot in eV per cell: -61.46
# DOS at the Fermi energy in states/eV/f.u.: 4.12
# Formation energy from raw total energies in meV per atom: -2018
data_PaAlHgO6
_chemical_formula_sum 'Pa1 Al1 Hg1 O6'
_cell_length_a 5.2744
_cell_length_b 5.2744
_cell_length_c 4.8018
_cell_angle_alpha 90.00
_cell_angle_beta 90.00
_cell_angle_gamma 120.00
_space_group_name_H-M_alt 'P 3 1 2'
_space_group_IT_number 149
loop_
_space_group_symop_operation_xyz
'x,y,z'
'-y,x-y,z'
'-x+y,-x,z'
'-y,-x,-z'
'-x+y,y,-z'
'x,x-y,-z'
loop_
_atom_site_label
_atom_site_fract_x
_atom_site_fract_y
_atom_site_fract_z
Pa1 0.0000 0.0000 0.0000
Al1 0.6667 0.3333 0.5000
Hg1 0.3333 0.6667 0.5000
O1 0.3599 0.0432 0.7336


# 10
# Pm4AlHgO | the Alexandria database | PBE-GGA | optimized geometry
# E_tot in eV per cell: -139.82
# DOS at the Fermi energy in states/eV/f.u.: 4.90
# Formation energy from raw total energies in meV per atom: -993
data_Pm4AlHgO
_chemical_formula_sum 'Pm16 Al4 Hg4 O4'
_cell_length_a 6.785
_cell_length_b 16.028
_cell_length_c 6.793
_cell_angle_alpha 90.00
_cell_angle_beta 90.00
_cell_angle_gamma 90.00
_space_group_name_H-M_alt 'C m c m'
_space_group_IT_number 63
_space_group_name_Hall '-C 2c 2'
loop_
_atom_site_label
_atom_site_fract_x
_atom_site_fract_y
_atom_site_fract_z
Pm1 0.000 0.075 0.250
Pm2 0.000 0.425 0.250
Pm3 0.250 0.250 0.000
Al1 0.000 0.117 0.750
Hg1 0.000 0.384 0.750
O1 0.000 0.254 0.250


# 11
# PuAlHg2O6 | the Alexandria database | PBE-GGA | optimized geometry
# E_tot in eV per cell: -197.06
# DOS at the Fermi energy in states/eV/f.u.: 8.93
# Formation energy from raw total energies in meV per atom: -1726
data_PuAlHg2O6
_chemical_formula_sum 'Pu3 Al3 Hg6 O18'
_cell_length_a 5.5435
_cell_length_b 5.5435
_cell_length_c 14.2407
_cell_angle_alpha 90.00
_cell_angle_beta 90.00
_cell_angle_gamma 120.00
_space_group_name_H-M_alt 'R -3'
_space_group_IT_number 148
_space_group_name_Hall '-R 3'
loop_
_atom_site_label
_atom_site_fract_x
_atom_site_fract_y
_atom_site_fract_z
Pu1 0.0000 0.0000 0.0000
Al1 0.0000 0.0000 0.5000
Hg1 0.0000 0.0000 0.2463
O1 0.0188 0.4174 0.2453